(1)
# NaYSc2S4

A relaxed structure of NaYSc2S4 (PBE-GGA, Alexandria).

```
NaYSc2S4
1.0
6.5765 0.0000 0.0000
0.0000 3.7771 0.0000
-2.1545 0.0000 6.3196
Na Y Sc S
1 1 2 4
Direct
0.0000 0.0000 0.0000
0.5000 0.5000 0.0000
0.0000 0.5000 0.5000
0.5000 0.0000 0.5000
0.2445 0.0000 0.7344
0.2591 0.5000 0.2696
0.7409 0.5000 0.7304
0.7555 0.0000 0.2656
```

## Properties
The formation energy from raw total energies comes out at -1.844 eV/atom.

***

(2)
# La8In2Co3

A relaxed structure of La8In2Co3 (PBE-GGA, Alexandria).

```
La8In2Co3
1.0
8.3256 -3.7235 0.0000
8.3256 3.7235 0.0000
-0.7063 0.0000 6.2800
La In Co
8 2 3
Direct
0.0558 0.0558 0.2972
0.1574 0.6340 0.1896
0.3474 0.3474 0.6870
0.3660 0.8426 0.8104
0.6340 0.1574 0.1896
0.6526 0.6526 0.3130
0.8426 0.3660 0.8104
0.9442 0.9442 0.7028
0.2317 0.2317 0.1801
0.7683 0.7683 0.8199
0.3447 0.6553 0.5000
0.5000 0.5000 0.0000
0.6553 0.3447 0.5000
```

## Properties
The formation energy is -2.2 kcal/mol of atoms.

***

(3)
# SN

A relaxed structure of SN (PBE-GGA, Alexandria).

```
SN
1.0
3.0828 0.0000 0.0000
0.0000 5.0953 0.0000
-0.2263 0.0000 9.0417
S N
4 4
Direct
0.2380 0.1981 0.3673
0.2380 0.3019 0.8673
0.7620 0.6981 0.1327
0.7620 0.8019 0.6327
0.2385 0.5922 0.8459
0.2385 0.9078 0.3459
0.7615 0.0922 0.6541
0.7615 0.4078 0.1541
```

## Properties
The formation energy from raw total energies comes out at 0.982 eV/atom.

***

(4)
# Y3BiC

A relaxed structure of Y3BiC (PBE-GGA, Alexandria).

```
Y3BiC
1.0
4.3336 0.0000 0.0000
-2.1668 3.7530 0.0000
0.0000 0.0000 17.0636
Y Bi C
6 2 2
Direct
0.0000 0.0000 0.2500
0.0000 0.0000 0.7500
0.3333 0.6667 0.1081
0.3333 0.6667 0.3919
0.6667 0.3333 0.6081
0.6667 0.3333 0.8919
0.0000 0.0000 0.0000
0.0000 0.0000 0.5000
0.3333 0.6667 0.2500
0.6667 0.3333 0.7500
```

## Properties
The polymorph energy (0 for the lowest one) is 288 meV per atom. The formation energy is -6.6 kcal/mol of atoms.

***

(5)
# LiMgSn2

A relaxed structure of LiMgSn2 (PBE-GGA, Alexandria).

```
LiMgSn2
1.0
3.4241 0.0000 0.0000
-1.7121 2.9654 0.0000
0.0000 0.0000 27.4450
Li Mg Sn
3 3 6
Direct
0.0000 0.0000 0.0000
0.3333 0.6667 0.6667
0.6667 0.3333 0.3333
0.0000 0.0000 0.8338
0.3333 0.6667 0.5005
0.6667 0.3333 0.1672
0.0000 0.0000 0.4154
0.0000 0.0000 0.5851
0.3333 0.6667 0.0821
0.3333 0.6667 0.2518
0.6667 0.3333 0.7487
0.6667 0.3333 0.9185
```

## Properties
The formation energy is -4.0 kcal/mol of atoms.

***

(6)
# Li2In4Bi3

A relaxed structure of Li2In4Bi3 (PBE-GGA, Alexandria).

```
Li2In4Bi3
1.0
7.6479 -5.9220 0.0000
7.6479 5.9220 0.0000
-0.9854 0.0000 5.4158
Li In Bi
4 8 6
Direct
0.0217 0.7778 0.6860
0.2222 0.9783 0.8140
0.7778 0.0217 0.1860
0.9783 0.2222 0.3140
0.1134 0.3116 0.8834
0.3116 0.1134 0.3834
0.3241 0.5578 0.9785
0.4422 0.6759 0.5215
0.5578 0.3241 0.4785
0.6759 0.4422 0.0215
0.6884 0.8866 0.6166
0.8866 0.6884 0.1166
0.1292 0.8708 0.2500
0.1653 0.4625 0.4269
0.4625 0.1653 0.9269
0.5375 0.8347 0.0731
0.8347 0.5375 0.5731
0.8708 0.1292 0.7500
```

## Properties
The formation energy is -2.5 kcal/mol of atoms.

***

(7)
# P2PtO8

A relaxed structure of P2PtO8 (PBE-GGA, Alexandria).

```
P2PtO8
1.0
5.8336 -3.0674 0.0000
5.8336 3.0674 0.0000
-0.5785 0.0000 4.6545
P Pt O
2 1 8
Direct
0.1585 0.1585 0.1262
0.8415 0.8415 0.8738
0.0000 0.0000 0.5000
0.1062 0.7182 0.7450
0.1367 0.1367 0.7912
0.2818 0.8938 0.2550
0.2854 0.2854 0.2163
0.7146 0.7146 0.7837
0.7182 0.1062 0.7450
0.8633 0.8633 0.2088
0.8938 0.2818 0.2550
```

## Properties
The formation energy from raw total energies comes out at -1.238 eV/atom.

***

Number 1: density of states at the Fermi level 0.363 states/eV/atom. Number 2: density of states at the Fermi level 0.821 states/eV/atom. Number 3: density of states at the Fermi level 0.544 states/eV/atom. Number 4: density of states at the Fermi level 0.010 states/eV/atom. Number 5: density of states at the Fermi level 0.375 states/eV/atom. Number 6: density of states at the Fermi level 0.424 states/eV/atom. Number 7: density of states at the Fermi level 0.490 states/eV/atom.